Entry 1:
Computed, not measured: an optimized crystal structure of AcDyO4 at the PBE level of DFT.

Lattice parameters (Å, degrees): 3.9805 3.9805 6.5961 96.56 96.56 61.55
Element x y z (fractional)
Ac 0.0000 0.0000 0.0000
Dy 0.3931 0.3931 0.4625
O 0.0517 0.0517 0.3941
O 0.3545 0.3545 0.1171
O 0.6236 0.6236 0.7813
O 0.7837 0.7837 0.6429

Space-group type: Cm (8)
Energy, eV per atom: -7.620
Formation energy from raw total energies, meV/atom: -2863

***

Entry 2:
Computed, not measured: an optimized crystal structure of UTcW at the PBE level of DFT.

Lattice parameters (Å, degrees): 6.2574 6.2574 6.2574 152.01 152.01 40.00
Element x y z (fractional)
U 0.0000 0.0000 0.0000
Tc 0.6807 0.6807 0.0000
W 0.3090 0.3090 0.0000

Space-group type: I4mm (107)
Energy, eV per atom: -11.392
Polymorph energy (0 for the lowest one), eV per atom: 0.000

***

Entry 3:
Computed, not measured: an optimized crystal structure of UPaPN at the PBE level of DFT.

Lattice parameters (Å, degrees): 11.7289 11.7289 11.7289 18.78 18.78 18.78
Element x y z (fractional)
U 0.1863 0.1863 0.1863
U 0.8137 0.8137 0.8137
Pa 0.3763 0.3763 0.3763
Pa 0.6237 0.6237 0.6237
P 0.0962 0.0962 0.0962
P 0.9038 0.9038 0.9038
N 0.3092 0.3092 0.3092
N 0.6908 0.6908 0.6908

Space-group type: R-3m (166)
Energy, eV per atom: -9.853
Formation energy from raw total energies, meV/atom: -1223

***

Entry 4:
Computed, not measured: an optimized crystal structure of ReHg2WCl at the PBE level of DFT.

Lattice parameters (Å, degrees): 5.4544 5.4544 4.4575 90.00 90.00 90.00
Element x y z (fractional)
Re 0.0000 0.0000 0.0000
Hg 0.0000 0.5000 0.5000
Hg 0.5000 0.0000 0.5000
W 0.5000 0.5000 0.5000
Cl 0.5000 0.5000 0.0000

Space-group type: P4/mmm (123)
Energy, eV per atom: -3.839
Formation energy from raw total energies, meV/atom: 1731

***

Entry 5:
Computed, not measured: an optimized crystal structure of Al2HgRh at the PBE level of DFT.

Lattice parameters (Å, degrees): 8.6659 8.6659 8.6659 20.32 20.32 20.32
Element x y z (fractional)
Al 0.2387 0.2387 0.2387
Al 0.7613 0.7613 0.7613
Hg 0.0000 0.0000 0.0000
Rh 0.5000 0.5000 0.5000

Space-group type: R-3m (166)
Energy, eV per atom: -4.087

***

Entry 6:
Computed, not measured: an optimized crystal structure of LiIn2Bi at the PBE level of DFT.

Lattice parameters (Å, degrees): 4.6262 4.6262 4.8380 90.00 90.00 90.00
Element x y z (fractional)
Li 0.0000 0.0000 0.0000
In 0.0000 0.5000 0.5000
In 0.5000 0.0000 0.5000
Bi 0.5000 0.5000 0.0000

Space-group type: P4/mmm (123)
Energy, eV per atom: -2.960

***

Entry 7:
Computed, not measured: an optimized crystal structure of SiPSe2 at the PBE level of DFT.

Lattice parameters (Å, degrees): 4.0501 4.0501 7.2404 90.00 90.00 127.79
Element x y z (fractional)
Si 0.0000 0.0000 0.0000
P 0.0000 0.0000 0.5000
Se 0.5000 0.5000 0.2528
Se 0.5000 0.5000 0.7472

Space-group type: Cmmm (65)
Energy, eV per atom: -4.009
Formation energy from raw total energies, meV/atom: 441
Polymorph energy (0 for the lowest one), eV per atom: 0.528

***

Entry 8:
Computed, not measured: an optimized crystal structure of Sc2InBr at the PBE level of DFT.

Lattice parameters (Å, degrees): 3.3387 3.3387 8.0694 90.00 90.00 90.00
Element x y z (fractional)
Sc 0.0000 0.0000 0.2482
Sc 0.0000 0.0000 0.7518
In 0.5000 0.5000 0.0000
Br 0.5000 0.5000 0.5000

Space-group type: P4/mmm (123)
Energy, eV per atom: -4.789
Formation energy from raw total energies, meV/atom: -520
Polymorph energy (0 for the lowest one), eV per atom: 0.090

***

Please write out number 6 again, unchanged.
Computed, not measured: an optimized crystal structure of LiIn2Bi at the PBE level of DFT.

Lattice parameters (Å, degrees): 4.6262 4.6262 4.8380 90.00 90.00 90.00
Element x y z (fractional)
Li 0.0000 0.0000 0.0000
In 0.0000 0.5000 0.5000
In 0.5000 0.0000 0.5000
Bi 0.5000 0.5000 0.0000

Space-group type: P4/mmm (123)
Energy, eV per atom: -2.960